The following is a PBE-GGA calculation of a relaxed structure of NaTmSc4Se8, from the Alexandria database.

a b c (Å): 8.166 8.166 8.166
angles (deg): 59.12 59.12 59.12
Positions (direct):
1 Na 0.000 0.000 0.000
2 Tm 0.367 0.367 0.367
3 Sc 0.366 0.366 0.889
4 Sc 0.366 0.889 0.366
5 Sc 0.745 0.745 0.745
6 Sc 0.889 0.366 0.366
7 Se 0.126 0.126 0.590
8 Se 0.126 0.590 0.126
9 Se 0.134 0.134 0.134
10 Se 0.140 0.618 0.618
11 Se 0.590 0.126 0.126
12 Se 0.613 0.613 0.613
13 Se 0.618 0.140 0.618
14 Se 0.618 0.618 0.140

DOS at the Fermi energy (states/eV/f.u.): 0.00
Space-group type: R3m, No. 160
Total energy (eV for the cell shown): -81.74


The following is a PBE-GGA calculation of a relaxed structure of Rb2PbCBr6, from the Alexandria database.

a b c (Å): 7.729 7.729 7.729
angles (deg): 119.96 119.96 90.06
Positions (direct):
1 Rb 0.250 0.750 0.500
2 Rb 0.750 0.250 0.500
3 Pb 0.000 0.000 0.000
4 C 0.500 0.500 0.000
5 Br 0.271 0.271 0.000
6 Br 0.271 0.271 0.542
7 Br 0.271 0.729 0.000
8 Br 0.729 0.271 0.000
9 Br 0.729 0.729 0.000
10 Br 0.729 0.729 0.458

DOS at the Fermi energy (states/eV/f.u.): 0.00
Space-group type: I4/mmm, No. 139
Total energy (eV for the cell shown): -29.95


The following is a PBE-GGA calculation of a relaxed structure of MgCd3F8, from the Alexandria database.

a b c (Å): 5.377 5.377 5.377
angles (deg): 90.00 90.00 90.00
Positions (direct):
1 Mg 0.000 0.000 0.000
2 Cd 0.000 0.500 0.500
3 Cd 0.500 0.000 0.500
4 Cd 0.500 0.500 0.000
5 F 0.240 0.240 0.240
6 F 0.240 0.240 0.760
7 F 0.240 0.760 0.240
8 F 0.240 0.760 0.760
9 F 0.760 0.240 0.240
10 F 0.760 0.240 0.760
11 F 0.760 0.760 0.240
12 F 0.760 0.760 0.760

DOS at the Fermi energy (states/eV/f.u.): 0.00
Space-group type: Pm-3m, No. 221
Total energy (eV for the cell shown): -49.04